This record from Alexandria via LeMat-Bulk describes crystalline DyThZnIn at its relaxed geometry. The functional is PBE. Values from VASP.

```
&SYSTEM
  ibrav = 0, nat = 4, ntyp = 4
/
ATOMIC_SPECIES
Zn 65.41 Zn.upf
In 114.82 In.upf
Th 232.04 Th.upf
Dy 162.50 Dy.upf
ATOMIC_POSITIONS crystal
Zn 0.000 0.000 0.000
In 0.500 0.500 0.500
Th 0.250 0.250 0.250
Dy 0.750 0.750 0.750
CELL_PARAMETERS angstrom
5.284 0.000 0.000
2.642 4.576 0.000
2.642 1.525 4.314
```

Properties
Density, g cm⁻³: 9.2
Formation energy, meV/atom: -282
Size of the total moment, μB/atom: 0.0000
Uncorrected energy, eV per atom: -4.291


This record from Alexandria via LeMat-Bulk describes crystalline CaCS at its relaxed geometry. The functional is PBE. Values from VASP.

```
&SYSTEM
  ibrav = 0, nat = 6, ntyp = 3
/
ATOMIC_SPECIES
C 12.01 C.upf
Ca 40.08 Ca.upf
S 32.06 S.upf
ATOMIC_POSITIONS crystal
C 0.546 0.431 0.580
C 0.592 0.480 0.441
Ca 0.381 0.272 0.072
Ca 0.173 0.059 0.698
S 0.654 0.545 0.254
S 0.773 0.661 0.899
CELL_PARAMETERS angstrom
4.060 0.000 0.000
2.029 3.517 0.000
2.011 1.139 8.991
```

Properties
Formation energy from raw total energies, eV per atom: -0.82
Density, g cm⁻³: 2.2
Size of the total moment, μB/atom: 0.0000
Uncorrected energy, eV per atom: -5.935
Energy above the most stable polymorph in this dataset, meV/atom: 15.6


This record from Alexandria via LeMat-Bulk describes crystalline Tl2AgHgPt at its relaxed geometry. The functional is PBE. Values from VASP.

```
&SYSTEM
  ibrav = 0, nat = 5, ntyp = 4
/
ATOMIC_SPECIES
Ag 107.87 Ag.upf
Tl 204.38 Tl.upf
Hg 200.59 Hg.upf
Pt 195.08 Pt.upf
ATOMIC_POSITIONS crystal
Ag 0.000 0.000 0.500
Tl 0.000 0.500 0.000
Tl 0.500 0.000 0.000
Hg 0.500 0.500 0.500
Pt 0.000 0.000 0.000
CELL_PARAMETERS angstrom
5.297 0.000 0.000
0.000 5.297 0.000
0.000 0.000 5.348
```

Properties
Density, g cm⁻³: 10.1
Formation energy, meV/atom: 99
Size of the total moment, μB/atom: 0.0000
Uncorrected energy, eV per atom: -2.686


This record from Alexandria via LeMat-Bulk describes crystalline CaNiGe2Ru at its relaxed geometry. The functional is PBE. Values from VASP.

```
&SYSTEM
  ibrav = 0, nat = 5, ntyp = 4
/
ATOMIC_SPECIES
Ca 40.08 Ca.upf
Ni 58.69 Ni.upf
Ge 72.64 Ge.upf
Ru 101.07 Ru.upf
ATOMIC_POSITIONS crystal
Ca 0.000 0.000 0.000
Ni 0.750 0.250 0.500
Ge 0.627 0.627 0.253
Ge 0.373 0.373 0.747
Ru 0.250 0.750 0.500
CELL_PARAMETERS angstrom
-0.212 -4.029 -0.579
3.946 -0.061 -1.022
-0.567 1.248 5.868
```

Properties
Density, g cm⁻³: 6.5
Formation energy, meV/atom: -538
Size of the total moment, μB/atom: 0.0000
Uncorrected energy, eV per atom: -5.796


This record from Alexandria via LeMat-Bulk describes crystalline ZnHPt2F at its relaxed geometry. The functional is PBE. Values from VASP.

```
&SYSTEM
  ibrav = 0, nat = 5, ntyp = 4
/
ATOMIC_SPECIES
H 1.01 H.upf
Zn 65.41 Zn.upf
Pt 195.08 Pt.upf
F 19.00 F.upf
ATOMIC_POSITIONS crystal
H 0.500 0.500 0.500
Zn 0.000 0.500 0.000
Pt 0.000 0.000 0.500
Pt 0.500 0.000 0.000
F 0.000 0.000 0.000
CELL_PARAMETERS angstrom
-2.403 3.010 -2.304
0.617 -2.072 -3.351
-3.726 -2.375 0.783
```

Properties
Density, g cm⁻³: 9.8
Size of the total moment, μB/atom: 0.0000
Uncorrected energy, eV per atom: -2.794


This record from Alexandria via LeMat-Bulk describes crystalline CrTcAu at its relaxed geometry. The functional is PBE. Values from VASP.

```
&SYSTEM
  ibrav = 0, nat = 3, ntyp = 3
/
ATOMIC_SPECIES
Au 196.97 Au.upf
Cr 52.00 Cr.upf
Tc 98.00 Tc.upf
ATOMIC_POSITIONS crystal
Au 0.500 0.500 0.500
Cr 0.750 0.750 0.750
Tc 0.000 0.000 0.000
CELL_PARAMETERS angstrom
4.163 0.000 0.000
2.081 3.605 0.000
2.081 1.202 3.399
```

Properties
Density, g cm⁻³: 11.3
Formation energy, meV/atom: 615
Size of the total moment, μB/atom: 0.2412
Uncorrected energy, eV per atom: -7.141
Energy above the most stable polymorph in this dataset, meV/atom: 371.8